A plane-wave DFT calculation with meta-GGA SCAN was carried out for a PBEsol-optimized structure of Hf2InMoP.

Space-group type = P4/mmm
DFT total energy = -2.868 Ry/atom
ΔH_f (0 K) = 1787 meV per atom
Density of states at the Fermi level = 5.36 states/eV/f.u.

abc: 4.826 5.088 5.088
angles: 90.00 90.00 90.00
Site moments in Bohr magnetons follow the coordinates.
Element x y z (fractional)
Hf 0.000 0.000 0.500  -0.18
Hf 0.000 0.500 0.000  -0.18
P 0.500 0.500 0.500  0.01
In 0.000 0.000 0.000  0.00
Mo 0.500 0.000 0.000  2.14

=====

A plane-wave DFT calculation with meta-GGA SCAN was carried out for a PBEsol-optimized structure of SrHfInMo2.

Space-group type = P4/mmm
DFT total energy = -2.650 Ry/atom
ΔH_f (0 K) = 1562 meV per atom
Density of states at the Fermi level = 4.45 states/eV/f.u.

abc: 4.812 4.812 5.590
angles: 90.00 90.00 90.00
Element x y z (fractional)
Sr 0.000 0.000 0.500
Mo 0.000 0.500 0.000
Mo 0.500 0.000 0.000
In 0.500 0.500 0.500
Hf 0.000 0.000 0.000

=====

A plane-wave DFT calculation with meta-GGA SCAN was carried out for a PBEsol-optimized structure of NaHfIn2Pt.

Space-group type = P4/mmm
DFT total energy = -2.966 Ry/atom
ΔH_f (0 K) = 413 meV per atom
Density of states at the Fermi level = 2.84 states/eV/f.u.

abc: 4.916 5.036 5.036
angles: 90.00 90.00 90.00
Element x y z (fractional)
In 0.000 0.000 0.500
In 0.000 0.500 0.000
Na 0.500 0.000 0.000
Hf 0.500 0.500 0.500
Pt 0.000 0.000 0.000

=====

A plane-wave DFT calculation with meta-GGA SCAN was carried out for a PBEsol-optimized structure of Hf3InNi.

Space-group type = Pm-3m
DFT total energy = -3.373 Ry/atom
ΔH_f (0 K) = 1619 meV per atom
Density of states at the Fermi level = 6.90 states/eV/f.u.

abc: 5.098 5.098 5.098
angles: 90.00 90.00 90.00
Site moments in Bohr magnetons follow the coordinates.
Element x y z (fractional)
In 0.000 0.000 0.000  0.00
Hf 0.500 0.000 0.000  -0.02
Hf 0.000 0.500 0.000  -0.02
Hf 0.000 0.000 0.500  -0.02
Ni 0.500 0.500 0.500  1.47

=====

A plane-wave DFT calculation with meta-GGA SCAN was carried out for a PBEsol-optimized structure of HfInNi2.

Space-group type = P4/mmm
DFT total energy = -2.386 Ry/atom
ΔH_f (0 K) = -364 meV per atom
Density of states at the Fermi level = 2.29 states/eV/f.u.

abc: 3.173 3.173 6.113
angles: 90.00 90.00 90.00
Element x y z (fractional)
Ni 0.500 0.500 0.226
Ni 0.500 0.500 0.774
In 0.000 0.000 0.500
Hf 0.000 0.000 0.000

=====

A plane-wave DFT calculation with meta-GGA SCAN was carried out for a PBEsol-optimized structure of HfInSiP2.

Space-group type = P4/mmm
DFT total energy = -1.766 Ry/atom
Density of states at the Fermi level = 3.61 states/eV/f.u.

abc: 4.834 4.832 4.832
angles: 90.00 90.00 90.00
Element x y z (fractional)
Hf 0.500 0.500 0.500
P 0.000 0.500 0.000
P 0.000 0.000 0.500
Si 0.500 0.000 0.000
In 0.000 0.000 0.000

=====

A plane-wave DFT calculation with meta-GGA SCAN was carried out for a PBEsol-optimized structure of HfInPt2Pb.

Space-group type = P4/mmm
DFT total energy = -4.512 Ry/atom
ΔH_f (0 K) = 1056 meV per atom
Density of states at the Fermi level = 4.06 states/eV/f.u.

abc: 4.985 4.985 5.276
angles: 90.00 90.00 90.00
Element x y z (fractional)
Pt 0.000 0.500 0.000
Pt 0.500 0.000 0.000
Hf 0.000 0.000 0.500
In 0.500 0.500 0.500
Pb 0.000 0.000 0.000

=====

A plane-wave DFT calculation with meta-GGA SCAN was carried out for a PBEsol-optimized structure of HfInPd2.

Space-group type = P4/mmm
DFT total energy = -3.022 Ry/atom
ΔH_f (0 K) = -709 meV per atom
Density of states at the Fermi level = 1.87 states/eV/f.u.

abc: 3.347 3.347 6.294
angles: 90.00 90.00 90.00
Element x y z (fractional)
Pd 0.500 0.500 0.771
Pd 0.500 0.500 0.229
In 0.000 0.000 0.500
Hf 0.000 0.000 0.000